The following is a DFT calculation (PBE-GGA) of a geometry-optimized Zr6As2C structure.

Calculated values
- E_tot (eV per atom) = -8.30
- total magnetization (μB/f.u.) = 0.0
- ΔE_f (meV/atom) = -543

a = 5.9263 Å, b = 5.9263 Å, c = 11.2007 Å
α = 90.00°, β = 90.00°, γ = 90.00°
Space group P4_2/mnm (No. 136)
One atom of each set of equivalent atoms:
Zr 0.1911 0.1911 0.1462
Zr 0.2257 0.2257 0.5000
As 0.0000 0.0000 0.3332
C 0.0000 0.0000 0.0000